Entry 1:
A plane-wave DFT calculation with PBE was carried out for a relaxed Hg3Ir crystal.

a b c (Å): 3.082 3.082 8.835
angles (deg): 90.00 90.00 90.00
Atoms (fractional coordinates):
Hg 0.000 0.000 0.000
Hg 0.500 0.500 0.289
Hg 0.500 0.500 0.711
Ir 0.000 0.000 0.500

The total magnetization is 0.00 μB/cell. As for the uncorrected energy: -2.017 eV per atom.


Entry 2:
A plane-wave DFT calculation with PBE was carried out for a relaxed Rb4Li2Hg crystal.

a b c (Å): 7.154 7.154 18.059
angles (deg): 90.00 90.00 90.00
Atoms (fractional coordinates):
Rb 0.000 0.000 0.203
Rb 0.000 0.000 0.797
Rb 0.000 0.500 0.000
Rb 0.000 0.500 0.500
Rb 0.500 0.000 0.000
Rb 0.500 0.000 0.500
Rb 0.500 0.500 0.297
Rb 0.500 0.500 0.703
Li 0.000 0.000 0.414
Li 0.000 0.000 0.586
Li 0.500 0.500 0.086
Li 0.500 0.500 0.914
Hg 0.000 0.000 0.000
Hg 0.500 0.500 0.500

The total magnetization is 0.00 μB/cell. As for the uncorrected energy: -1.018 eV per atom.


Entry 3:
A plane-wave DFT calculation with PBE was carried out for a relaxed CaInAs2 crystal.

a b c (Å): 4.150 4.150 5.884
angles (deg): 90.00 90.00 90.00
Atoms (fractional coordinates):
Ca 0.000 0.000 0.000
In 0.500 0.500 0.492
As 0.000 0.000 0.500
As 0.500 0.500 0.994

The total magnetization is 0.00 μB/cell. As for the uncorrected energy: -3.917 eV per atom.


Entry 4:
A plane-wave DFT calculation with PBE was carried out for a relaxed LiGaPb2 crystal.

a b c (Å): 4.792 4.792 4.291
angles (deg): 90.00 90.00 90.00
Atoms (fractional coordinates):
Li 0.000 0.000 0.000
Ga 0.500 0.500 0.000
Pb 0.000 0.500 0.500
Pb 0.500 0.000 0.500

The total magnetization is 0.00 μB/cell. As for the uncorrected energy: -3.185 eV per atom.


Entry 5:
A plane-wave DFT calculation with PBE was carried out for a relaxed CaTaTe crystal.

a b c (Å): 3.595 3.595 11.620
angles (deg): 90.00 90.00 90.00
Atoms (fractional coordinates):
Ca 0.000 0.000 0.000
Ca 0.500 0.500 0.500
Ta 0.000 0.000 0.689
Ta 0.500 0.500 0.189
Te 0.000 0.000 0.296
Te 0.500 0.500 0.796

The total magnetization is 0.00 μB/cell. For the energy relative to the elements, uncorrected, the calculation gives -0.053 eV/atom.


Entry 6:
A plane-wave DFT calculation with PBE was carried out for a relaxed Mg2MnCo crystal.

a b c (Å): 6.235 6.235 6.235
angles (deg): 90.00 90.00 90.00
Atoms (fractional coordinates):
Mg 0.250 0.250 0.250
Mg 0.250 0.250 0.750
Mg 0.250 0.750 0.250
Mg 0.250 0.750 0.750
Mg 0.750 0.250 0.250
Mg 0.750 0.250 0.750
Mg 0.750 0.750 0.250
Mg 0.750 0.750 0.750
Mn 0.000 0.000 0.000
Mn 0.000 0.500 0.500
Mn 0.500 0.000 0.500
Mn 0.500 0.500 0.000
Co 0.000 0.000 0.500
Co 0.000 0.500 0.000
Co 0.500 0.000 0.000
Co 0.500 0.500 0.500

The total magnetization is 14.25 μB/cell. As for the uncorrected energy: -4.626 eV per atom.


Entry 7:
A plane-wave DFT calculation with PBE was carried out for a relaxed BaHgIr2 crystal.

a b c (Å): 6.298 8.603 3.162
angles (deg): 90.00 90.00 90.00
Atoms (fractional coordinates):
Ba 0.000 0.000 0.000
Ba 0.500 0.500 0.000
Hg 0.000 0.500 0.000
Hg 0.500 0.000 0.000
Ir 0.250 0.250 0.500
Ir 0.250 0.750 0.500
Ir 0.750 0.250 0.500
Ir 0.750 0.750 0.500

The total magnetization is 0.00 μB/cell. As for the uncorrected energy: -4.264 eV per atom.


Entry 8:
A plane-wave DFT calculation with PBE was carried out for a relaxed Na4S12I crystal.

a b c (Å): 8.281 8.281 8.281
angles (deg): 109.47 109.47 109.47
Atoms (fractional coordinates):
Na 0.000 0.000 0.500
Na 0.000 0.500 0.000
Na 0.500 0.000 0.000
Na 0.500 0.500 0.500
S 0.137 0.399 0.536
S 0.137 0.601 0.738
S 0.262 0.863 0.399
S 0.399 0.262 0.863
S 0.399 0.536 0.137
S 0.464 0.863 0.601
S 0.536 0.137 0.399
S 0.601 0.464 0.863
S 0.601 0.738 0.137
S 0.738 0.137 0.601
S 0.863 0.399 0.262
S 0.863 0.601 0.464
I 0.000 0.000 0.000

The total magnetization is 0.00 μB/cell. For the energy relative to the elements, uncorrected, the calculation gives -0.331 eV/atom.


Entry 9:
A plane-wave DFT calculation with PBE was carried out for a relaxed NbHgS3 crystal.

a b c (Å): 3.320 7.782 9.218
angles (deg): 99.89 90.02 91.30
Atoms (fractional coordinates):
Nb 0.245 0.368 0.317
Nb 0.755 0.632 0.683
Hg 0.259 0.154 0.770
Hg 0.741 0.846 0.230
S 0.251 0.485 0.824
S 0.259 0.673 0.486
S 0.264 0.844 0.821
S 0.736 0.156 0.179
S 0.741 0.327 0.514
S 0.749 0.515 0.176

The total magnetization is 0.61 μB/cell. For the energy relative to the elements, uncorrected, the calculation gives -0.563 eV/atom.


Entry 10:
A plane-wave DFT calculation with PBE was carried out for a relaxed NaCa2 crystal.

a b c (Å): 7.325 7.325 7.325
angles (deg): 60.00 60.00 60.00
Atoms (fractional coordinates):
Na 0.125 0.125 0.125
Na 0.875 0.875 0.875
Ca 0.000 0.500 0.500
Ca 0.500 0.000 0.500
Ca 0.500 0.500 0.000
Ca 0.500 0.500 0.500

The total magnetization is 0.00 μB/cell. As for the uncorrected energy: -1.562 eV per atom.


Entry 11:
A plane-wave DFT calculation with PBE was carried out for a relaxed NbCoNiRh crystal.

a b c (Å): 5.997 5.997 5.997
angles (deg): 90.00 90.00 90.00
Atoms (fractional coordinates):
Nb 0.000 0.000 0.000
Nb 0.000 0.500 0.500
Nb 0.500 0.000 0.500
Nb 0.500 0.500 0.000
Co 0.250 0.250 0.250
Co 0.250 0.750 0.750
Co 0.750 0.250 0.750
Co 0.750 0.750 0.250
Ni 0.250 0.250 0.750
Ni 0.250 0.750 0.250
Ni 0.750 0.250 0.250
Ni 0.750 0.750 0.750
Rh 0.000 0.000 0.500
Rh 0.000 0.500 0.000
Rh 0.500 0.000 0.000
Rh 0.500 0.500 0.500

The total magnetization is 3.15 μB/cell. As for the uncorrected energy: -7.665 eV per atom.


Entry 12:
A plane-wave DFT calculation with PBE was carried out for a relaxed Ac3Si3Ag2 crystal.

a b c (Å): 6.203 6.203 16.155
angles (deg): 90.00 90.00 136.82
Atoms (fractional coordinates):
Ac 0.077 0.923 0.750
Ac 0.359 0.641 0.598
Ac 0.359 0.641 0.902
Ac 0.641 0.359 0.098
Ac 0.641 0.359 0.402
Ac 0.923 0.077 0.250
Si 0.072 0.928 0.552
Si 0.072 0.928 0.948
Si 0.208 0.792 0.250
Si 0.792 0.208 0.750
Si 0.928 0.072 0.052
Si 0.928 0.072 0.448
Ag 0.350 0.650 0.112
Ag 0.350 0.650 0.388
Ag 0.650 0.350 0.612
Ag 0.650 0.350 0.888

The total magnetization is 0.00 μB/cell. For the energy relative to the elements, uncorrected, the calculation gives -0.487 eV/atom.


Entry 13:
A plane-wave DFT calculation with PBE was carried out for a relaxed Hg2Pd2Pb crystal.

a b c (Å): 4.127 4.127 13.273
angles (deg): 90.00 90.00 90.00
Atoms (fractional coordinates):
Hg 0.000 0.000 0.111
Hg 0.000 0.000 0.889
Hg 0.500 0.500 0.389
Hg 0.500 0.500 0.611
Pd 0.000 0.500 0.250
Pd 0.000 0.500 0.750
Pd 0.500 0.000 0.250
Pd 0.500 0.000 0.750
Pb 0.000 0.000 0.500
Pb 0.500 0.500 0.000

The total magnetization is 0.00 μB/cell. As for the uncorrected energy: -2.894 eV per atom.